TbZnGe | Alexandria via LeMat-Bulk | PBE | optimized geometry; magnetization = 0.00 μB/f.u.; DFT total energy = -3.759 eV per atom; formation energy from the elements = -0.252 eV/atom
1.0
0.000 7.143 7.251
2.835 0.000 7.251
2.835 7.143 0.000
Tb Zn Ge
4 4 4
direct
0.010 0.717 0.283
0.283 0.990 0.010
0.717 0.010 0.990
0.990 0.283 0.717
0.315 0.685 0.315
0.411 0.411 0.589
0.589 0.589 0.411
0.685 0.315 0.685
0.180 0.483 0.517
0.483 0.180 0.820
0.517 0.820 0.180
0.820 0.517 0.483